# Sc5Ta

A PBEsol-optimized structure of Sc5Ta (SCAN, the Alexandria database).

Its offset from the most stable computed form is 0.04 eV per formula unit. As for the space group: Amm2. The formation energy is 0.1075 eV/atom.

```
Sc5Ta
1.0
3.139 0.000 0.000
0.000 5.007 0.000
-1.570 0.000 8.369
Sc Ta
5 1
direct
0.994 0.000 0.988 Sc
0.664 0.000 0.329 Sc
0.336 0.000 0.672 Sc
0.549 0.500 0.098 Sc
0.233 0.500 0.466 Sc
0.890 0.500 0.780 Ta
```



# AlAu

A PBEsol-optimized structure of AlAu (SCAN, the Alexandria database).

As for the space group: P-6m2. The formation energy is -0.5437 eV/atom.

```
AlAu
1.0
2.771 0.000 0.000
0.000 3.909 0.000
0.000 -1.955 3.385
Au Al
1 1
direct
0.500 0.333 0.667 Au
0.000 0.000 0.000 Al
```



# ZrSc2Be

A PBEsol-optimized structure of ZrSc2Be (SCAN, the Alexandria database).

As for the space group: P4/mmm. The formation energy is -0.0004 eV/atom.

```
ZrSc2Be
1.0
-2.253 0.467 2.127
1.503 -1.881 2.006
3.899 6.094 2.793
Sc Be Zr
2 1 1
direct
0.000 0.000 0.706 Sc
0.000 0.000 0.294 Sc
0.500 0.500 0.500 Be
0.500 0.500 0.000 Zr
```